# Sb6IrRh

An optimized crystal structure of Sb6IrRh (PBE-GGA, Alexandria).

Properties
Formation energy (no corrections), kJ/mol of atoms: -36

Unit cell a=13.263 b=9.381 c=9.382 alpha=90.00 beta=134.97 gamma=90.00
Space group C2/m (No. 12)
Asymmetric unit:
Sb 0.001 0.155 0.161
Sb 0.154 0.340 0.654
Sb 0.160 0.500 0.006
Sb 0.160 0.500 0.315
Ir 0.250 0.250 0.000
Rh 0.250 0.250 0.500

# Rb2DyPbF6

An optimized crystal structure of Rb2DyPbF6 (PBE-GGA, Alexandria).

Properties
Formation energy (no corrections), kJ/mol of atoms: -285

Unit cell a=6.355 b=9.076 c=7.823 alpha=90.00 beta=90.00 gamma=90.00
Space group Pmmn (No. 59, origin choice 2)
Asymmetric unit:
Rb 0.250 0.015 0.178
Dy 0.250 0.750 0.776
Pb 0.250 0.250 0.692
F 0.015 0.750 0.983
F 0.021 0.250 0.392
F 0.250 0.508 0.796

# MnI2N

An optimized crystal structure of MnI2N (PBE-GGA, Alexandria).

Properties
Formation energy (no corrections), kJ/mol of atoms: 94
Excess energy over the best structure of this formula in the dataset, eV/atom: 0.0024

Unit cell a=7.129 b=7.129 c=11.611 alpha=90.00 beta=90.00 gamma=90.00
Space group I-42d (No. 122)
Asymmetric unit:
Mn 0.000 0.000 0.000
I 0.200 0.250 0.125
N 0.000 0.000 0.500

# GaSiSb3

An optimized crystal structure of GaSiSb3 (PBE-GGA, Alexandria).

Properties
Formation energy (no corrections), kJ/mol of atoms: 56
Excess energy over the best structure of this formula in the dataset, eV/atom: 0.0000

Unit cell a=5.266 b=5.266 c=5.266 alpha=90.00 beta=90.00 gamma=90.00
Space group Pm-3m (No. 221)
Asymmetric unit:
Ga 0.000 0.000 0.000
Si 0.500 0.500 0.500
Sb 0.000 0.500 0.500

# BaAgRu2C

An optimized crystal structure of BaAgRu2C (PBE-GGA, Alexandria).

Properties
Energy relative to the elements, eV/f.u.: 9.46

Unit cell a=5.254 b=5.254 c=3.947 alpha=90.00 beta=90.00 gamma=90.00
Space group P4/mmm (No. 123)
Asymmetric unit:
Ba 0.000 0.000 0.000
Ag 0.500 0.500 0.500
Ru 0.000 0.500 0.500
C 0.500 0.500 0.000

# Sr2CdTe

An optimized crystal structure of Sr2CdTe (PBE-GGA, Alexandria).

Properties
Formation energy (no corrections), kJ/mol of atoms: -67
Excess energy over the best structure of this formula in the dataset, eV/atom: 0.1995

Unit cell a=8.852 b=8.852 c=8.253 alpha=90.00 beta=90.00 gamma=90.00
Space group I-42d (No. 122)
Asymmetric unit:
Sr 0.240 0.250 0.125
Cd 0.000 0.000 0.500
Te 0.000 0.000 0.000

# TeHF2

An optimized crystal structure of TeHF2 (PBE-GGA, Alexandria).

Properties
Excess energy over the best structure of this formula in the dataset, eV/atom: 0.6165

Unit cell a=3.2165 b=3.2165 c=18.5379 alpha=90.00 beta=90.00 gamma=120.00
Space group R-3m (No. 166, hexagonal axes)
Asymmetric unit:
Te 0.0000 0.0000 0.0000
H 0.0000 0.0000 0.5000
F 0.0000 0.0000 0.1143

# Si2TcMo

An optimized crystal structure of Si2TcMo (PBE-GGA, Alexandria).

Properties
Formation energy (no corrections), kJ/mol of atoms: -12
Excess energy over the best structure of this formula in the dataset, eV/atom: 0.3271

Unit cell a=2.826 b=3.800 c=5.382 alpha=90.00 beta=90.17 gamma=90.00
Space group P2/m (No. 10)
Asymmetric unit:
Si 0.005 0.000 0.228
Tc 0.000 0.500 0.500
Mo 0.500 0.500 0.000